Compound: GaFeGe2O6
Source: the Alexandria database
Functional: PBE with a Hubbard U
Structure: relaxed

## Properties
Its crystal system is monoclinic. The value obtained for the raw total energy is -6.26 eV per atom. The value obtained for the density of states at the Fermi level is 1.2 states/eV/f.u.

Cell lengths 9.7137, 9.1962, 5.3748 Å; angles 90.00, 100.86, 90.00 degrees
Space group C2/c (No. 15)
One atom of each set of equivalent atoms:
Ga (0.0000, 0.2314, 0.2500)
Fe (0.0000, 0.4099, 0.7500)
Ge (0.1922, 0.0948, 0.7925)
O (0.1086, 0.2405, 0.5991)
O (0.1160, 0.4007, 0.1433)
O (0.1378, 0.0780, 0.1177)